Entry 1:
A geometry-optimized BaAs2Ir structure, computed with PBE-GGA.

Values from the calculation:
* total DFT energy (no corrections): -4.899 eV per atom
* DFT formation energy: 0.121 eV/atom
* density: 9.041 g/cm³

```
data_BaAs2Ir
_chemical_formula_sum 'Ba4 As8 Ir4'
_cell_length_a 7.0619
_cell_length_b 7.0619
_cell_length_c 7.0619
_cell_angle_alpha 90.00
_cell_angle_beta 90.00
_cell_angle_gamma 90.00
_symmetry_space_group_name_H-M 'F m -3 m'
_symmetry_Int_Tables_number 225
_symmetry_space_group_name_Hall '-F 4 2 3'
loop_
_atom_site_label
_atom_site_type_symbol
_atom_site_fract_x
_atom_site_fract_y
_atom_site_fract_z
Ba1 Ba 0.0000 0.0000 0.0000
As1 As 0.2500 0.2500 0.2500
Ir1 Ir 0.0000 0.0000 0.5000
```

---

Entry 2:
A geometry-optimized K2PBr2 structure, computed with PBE-GGA.

Values from the calculation:
* total DFT energy (no corrections): -2.793 eV per atom
* density: 1.854 g/cm³

```
data_K2PBr2
_chemical_formula_sum 'K4 P2 Br4'
_cell_length_a 6.3267
_cell_length_b 6.3267
_cell_length_c 12.0399
_cell_angle_alpha 90.00
_cell_angle_beta 90.00
_cell_angle_gamma 90.00
_symmetry_space_group_name_H-M 'I 4/m m m'
_symmetry_Int_Tables_number 139
_symmetry_space_group_name_Hall '-I 4 2'
loop_
_atom_site_label
_atom_site_type_symbol
_atom_site_fract_x
_atom_site_fract_y
_atom_site_fract_z
K1 K 0.0000 0.5000 0.2500
P1 P 0.0000 0.0000 0.0000
Br1 Br 0.0000 0.0000 0.3046
```

---

Entry 3:
A geometry-optimized SmErTl structure, computed with PBE-GGA.

Values from the calculation:
* total DFT energy (no corrections): -3.659 eV per atom
* E above lowest polymorph: 481.7 meV per atom
* DFT formation energy: 0.224 eV/atom
* density: 7.592 g/cm³

```
data_SmErTl
_chemical_formula_sum 'Sm4 Er4 Tl4'
_cell_length_a 9.3803
_cell_length_b 9.8688
_cell_length_c 4.9336
_cell_angle_alpha 90.00
_cell_angle_beta 90.00
_cell_angle_gamma 90.00
_symmetry_space_group_name_H-M 'C m m m'
_symmetry_Int_Tables_number 65
_symmetry_space_group_name_Hall '-C 2 2'
loop_
_atom_site_label
_atom_site_type_symbol
_atom_site_fract_x
_atom_site_fract_y
_atom_site_fract_z
Sm1 Sm 0.0000 0.1904 0.0000
Er1 Er 0.1864 0.5000 0.5000
Tl1 Tl 0.0000 0.0000 0.5000
Tl2 Tl 0.0000 0.5000 0.0000
```

---

Q: The lowest density belongs to which entry?
A: K2PBr2

---

Q: Which value of density does entry 3 give?
A: 7.592 g/cm³

---

Repeat the second record exactly.
A geometry-optimized K2PBr2 structure, computed with PBE-GGA.

Values from the calculation:
* total DFT energy (no corrections): -2.793 eV per atom
* density: 1.854 g/cm³

```
data_K2PBr2
_chemical_formula_sum 'K4 P2 Br4'
_cell_length_a 6.3267
_cell_length_b 6.3267
_cell_length_c 12.0399
_cell_angle_alpha 90.00
_cell_angle_beta 90.00
_cell_angle_gamma 90.00
_symmetry_space_group_name_H-M 'I 4/m m m'
_symmetry_Int_Tables_number 139
_symmetry_space_group_name_Hall '-I 4 2'
loop_
_atom_site_label
_atom_site_type_symbol
_atom_site_fract_x
_atom_site_fract_y
_atom_site_fract_z
K1 K 0.0000 0.5000 0.2500
P1 P 0.0000 0.0000 0.0000
Br1 Br 0.0000 0.0000 0.3046
```

---

Q: What is the total DFT energy (no corrections) in the first record?
A: -4.899 eV per atom